## a
VASP calculation (PBE) on crystalline ScUAs2 at its relaxed geometry.

```
ScUAs2
1.0
-0.5725 3.8594 0.6943
-3.4742 1.2622 1.4287
0.8924 0.9368 6.8385
As Sc U
2 1 1
direct
0.2548 0.2548 0.2356
0.7452 0.7452 0.7644
0.0000 0.0000 0.0000
0.5000 0.5000 0.5000
```

Output
Crystal system ... trigonal

## b
VASP calculation (PBE) on crystalline ScUAs2 at its relaxed geometry.

```
ScUAs2
1.0
-2.4142 2.5257 1.6665
-0.2915 0.1426 3.8574
4.2153 5.6415 2.0523
As Sc U
2 1 1
direct
0.2559 0.2559 0.2322
0.0768 0.0768 0.7695
0.6691 0.6691 0.9927
0.4981 0.4981 0.5056
```

Output
Crystal system ... trigonal

The winner here is a, beating the second structure by 114 meV per atom.

## a
VASP calculation (PBE) on crystalline ScV2As2 at its relaxed geometry.

```
ScV2As2
1.0
-1.4691 2.1483 2.6385
-1.2445 -3.0140 1.7612
3.8804 -0.7435 5.3688
As Sc V
2 1 2
direct
0.3863 0.3863 0.2274
0.6137 0.6137 0.7726
0.0000 0.0000 0.0000
0.2500 0.7500 0.5000
0.7500 0.2500 0.5000
```

Output
Crystal system ... tetragonal

## b
VASP calculation (PBE) on crystalline ScV2As2 at its relaxed geometry.

```
ScV2As2
1.0
-4.1737 -1.4847 1.5058
1.8568 -0.9788 4.1816
-2.0071 2.3977 4.0701
V Sc As
2 1 2
direct
0.6239 0.6239 0.7522
0.3761 0.3761 0.2478
0.0000 0.0000 0.0000
0.7500 0.2500 0.5000
0.2500 0.7500 0.5000
```

Output
Crystal system ... tetragonal

## c
VASP calculation (PBE) on crystalline ScV2As2 at its relaxed geometry.

```
ScV2As2
1.0
-0.6635 -2.6303 6.5062
3.5473 -5.7646 -1.9687
2.7485 1.4020 0.8471
Sc V As
2 4 4
direct
0.0000 0.0000 0.0000
0.5000 0.5000 0.0000
0.8611 0.3611 0.5000
0.3611 0.1389 0.5000
0.6389 0.8611 0.5000
0.1389 0.6389 0.5000
0.6485 0.1485 0.0000
0.8515 0.6485 0.0000
0.3515 0.8515 0.0000
0.1485 0.3515 0.0000
```

Output
Crystal system ... tetragonal

The winner here is a, beating the second structure by 74 meV per atom.

## a
VASP calculation (PBE) on crystalline ScV3As at its relaxed geometry.

```
ScV3As
1.0
-4.2676 1.4294 0.6417
-1.5661 -3.8346 -1.8735
-0.0478 -1.9798 4.0921
V Sc As
3 1 1
direct
0.0000 0.5000 0.0000
0.0000 0.0000 0.5000
0.5000 0.0000 0.0000
0.5000 0.5000 0.5000
0.0000 0.0000 0.0000
```

Output
Crystal system ... cubic

## b
VASP calculation (PBE) on crystalline ScV3As at its relaxed geometry.

```
ScV3As
1.0
4.4564 0.0000 0.0000
0.0000 4.4564 0.0000
0.0000 0.0000 4.4564
Sc V As
1 3 1
direct
0.0000 0.0000 0.0000
0.5000 0.0000 0.0000
0.0000 0.5000 0.0000
0.0000 0.0000 0.5000
0.5000 0.5000 0.5000
```

Output
Crystal system ... cubic

The winner here is a, beating the second structure by 1148 meV per atom.

## a
VASP calculation (PBE) on crystalline ScVAs2 at its relaxed geometry.

```
ScVAs2
1.0
5.8152 0.0000 0.0000
0.0000 5.8152 0.0000
2.9076 2.9076 6.0273
As Sc V
4 2 2
direct
0.0934 0.6250 0.2500
0.3750 0.3434 0.7500
0.6566 0.1250 0.2500
0.8750 0.9066 0.7500
0.2500 0.7500 0.5000
0.5000 0.5000 0.0000
0.7500 0.2500 0.5000
0.0000 0.0000 0.0000
```

Output
Crystal system ... tetragonal

## b
VASP calculation (PBE) on crystalline ScVAs2 at its relaxed geometry.

```
ScVAs2
1.0
3.7762 0.0000 0.0000
1.8881 3.2703 0.0000
1.8881 1.0901 6.0005
Sc V As
1 1 2
direct
0.5000 0.5000 0.5000
0.0000 0.0000 0.0000
0.2569 0.2569 0.2293
0.7431 0.7431 0.7707
```

Output
Crystal system ... trigonal

## c
VASP calculation (PBE) on crystalline ScVAs2 at its relaxed geometry.

```
ScVAs2
1.0
0.0000 3.2546 3.2546
3.2546 0.0000 3.2546
3.2546 3.2546 0.0000
As V Sc
2 1 1
direct
0.7500 0.7500 0.7500
0.2500 0.2500 0.2500
0.5000 0.5000 0.5000
0.0000 0.0000 0.0000
```

Output
Crystal system ... cubic

The winner here is b, beating the second structure by 278 meV per atom.

## a
VASP calculation (PBE) on crystalline ScAs2W at its relaxed geometry.

```
ScAs2W
1.0
2.3381 -0.2787 3.8997
-1.0286 2.7605 3.4748
-1.9919 -1.6844 3.7346
As W Sc
2 1 1
direct
0.2500 0.2500 0.2500
0.7500 0.7500 0.7500
0.5000 0.5000 0.5000
0.0000 0.0000 0.0000
```

Output
Crystal system ... cubic

## b
VASP calculation (PBE) on crystalline ScAs2W at its relaxed geometry.

```
ScAs2W
1.0
8.6987 -0.0256 -0.0151
8.1190 3.1224 -0.0151
8.1190 1.4950 2.7412
As W Sc
2 1 1
direct
0.2504 0.2504 0.2504
0.0084 0.0084 0.0084
0.7433 0.7433 0.7433
0.4979 0.4979 0.4979
```

Output
Crystal system ... trigonal

The winner here is a, beating the second structure by 381 meV per atom.

## a
VASP calculation (PBE) on crystalline ScAsW at its relaxed geometry.

```
ScAsW
1.0
-3.0242 -3.2455 -2.9558
1.5325 -3.0110 -4.1232
1.2144 1.3509 5.0116
W Sc As
1 1 1
direct
0.6422 0.6422 0.0000
0.3344 0.3344 0.0000
0.0235 0.0235 0.0000
```

Output
Crystal system ... tetragonal

## b
VASP calculation (PBE) on crystalline ScAsW at its relaxed geometry.

```
ScAsW
1.0
6.7389 0.0025 -0.0019
5.8417 2.8679 0.0009
0.8972 -0.7905 2.7543
W Sc As
1 1 1
direct
0.6576 0.6576 0.3424
0.3369 0.3369 0.6631
0.0055 0.0055 0.9945
```

Output
Crystal system ... orthorhombic

## c
VASP calculation (PBE) on crystalline ScAsW at its relaxed geometry.

```
ScAsW
1.0
-1.2052 3.0146 2.8422
-4.1556 1.1126 0.3331
-2.2584 -1.1173 3.5027
Sc As W
1 1 1
direct
0.0000 0.0000 0.0000
0.7500 0.7500 0.7500
0.5000 0.5000 0.5000
```

Output
Crystal system ... cubic

## d
VASP calculation (PBE) on crystalline ScAsW at its relaxed geometry.

```
ScAsW
1.0
-3.3759 -0.4434 -3.0107
0.4245 -2.9915 3.3953
-1.7429 1.6885 1.7056
Sc As W
1 1 1
direct
0.3333 0.6667 0.3336
0.0000 0.0000 0.8329
0.6667 0.3333 0.8335
```

Output
Crystal system ... hexagonal

The winner here is a, beating the second structure by 213 meV per atom.